1.
Below is crystalline TiNbTc4 at its relaxed geometry, with properties calculated at the PBE level.

```
TiNbTc4
1.0
-4.021 -2.138 -0.763
3.729 -1.083 -2.498
1.584 -0.001 7.076
Ti Tc Nb
1 4 1
Direct
0.500 0.000 0.500 Ti
0.929 0.095 0.265 Tc
0.595 0.429 0.265 Tc
0.071 0.905 0.735 Tc
0.405 0.571 0.735 Tc
0.000 0.500 0.000 Nb
```

Calculated values
Uncorrected energy   -9.87 eV/atom
D(E_F)   5.067 states/eV/cell

2.
Below is crystalline BaAgIr2 at its relaxed geometry, with properties calculated at the PBE level.

```
BaAgIr2
1.0
4.474 -0.004 0.019
2.240 3.872 0.019
2.215 1.277 5.699
Ag Ir Ba
1 2 1
Direct
0.452 0.452 0.644 Ag
0.730 0.730 0.810 Ir
0.061 0.061 0.817 Ir
0.257 0.257 0.229 Ba
```

Calculated values
Uncorrected energy   -5.64 eV/atom
D(E_F)   3.663 states/eV/cell

3.
Below is crystalline Sr7H12Cl2 at its relaxed geometry, with properties calculated at the PBE level.

```
Sr7H12Cl2
1.0
-1.117 9.661 -2.140
-5.273 -6.840 -4.958
-2.871 0.264 2.689
H Sr Cl
12 7 2
Direct
0.909 0.302 0.000 H
0.284 0.227 0.500 H
0.610 0.824 0.000 H
0.445 0.563 0.500 H
0.176 0.786 0.000 H
0.393 0.091 0.000 H
0.214 0.390 0.000 H
0.698 0.607 0.000 H
0.118 0.555 0.500 H
0.437 0.882 0.500 H
0.773 0.057 0.500 H
0.943 0.716 0.500 H
0.333 0.667 0.000 Sr
0.921 0.560 0.000 Sr
0.639 0.079 0.000 Sr
0.217 0.949 0.500 Sr
0.732 0.783 0.500 Sr
0.051 0.268 0.500 Sr
0.440 0.361 0.000 Sr
0.000 0.000 0.000 Cl
0.667 0.333 0.500 Cl
```

Calculated values
Uncorrected energy   -3.51 eV/atom
D(E_F)   0.000 states/eV/cell

4.
Below is crystalline Ba3SnBi at its relaxed geometry, with properties calculated at the PBE level.

```
Ba3SnBi
1.0
4.817 -0.001 0.000
-2.410 9.465 -0.307
-0.001 -0.679 10.009
Ba Bi Sn
6 2 2
Direct
0.260 0.554 0.029 Ba
0.419 0.872 0.633 Ba
0.071 0.175 0.383 Ba
0.784 0.600 0.393 Ba
0.973 0.979 0.039 Ba
0.624 0.282 0.789 Ba
0.414 0.861 0.280 Bi
0.630 0.293 0.141 Bi
0.812 0.658 0.777 Sn
0.231 0.497 0.644 Sn
```

Calculated values
Uncorrected energy   -3.42 eV/atom
D(E_F)   4.926 states/eV/cell

5.
Below is crystalline Dy2SnRh at its relaxed geometry, with properties calculated at the PBE level.

```
Dy2SnRh
1.0
3.776 0.000 0.000
1.888 3.270 0.000
1.888 1.090 8.401
Dy Rh Sn
2 1 1
Direct
0.734 0.734 0.797 Dy
0.266 0.266 0.203 Dy
0.000 0.000 0.000 Rh
0.500 0.500 0.500 Sn
```

Calculated values
Uncorrected energy   -5.75 eV/atom
D(E_F)   2.661 states/eV/cell

6.
Below is crystalline Tb4Tm7Sc at its relaxed geometry, with properties calculated at the PBE level.

```
Tb4Tm7Sc
1.0
-5.731 2.063 -2.714
-2.554 -5.712 -1.269
-10.658 0.315 4.562
Tb Tm Sc
4 7 1
Direct
0.685 0.833 0.695 Tb
0.536 0.651 0.280 Tb
0.464 0.349 0.720 Tb
0.315 0.167 0.305 Tb
0.196 0.496 0.049 Tm
0.274 0.812 0.616 Tm
0.804 0.504 0.951 Tm
0.500 0.000 0.000 Tm
0.943 0.678 0.363 Tm
0.057 0.322 0.637 Tm
0.726 0.188 0.384 Tm
0.000 0.000 0.000 Sc
```

Calculated values
Uncorrected energy   -4.58 eV/atom
D(E_F)   20.892 states/eV/cell

7.
Below is crystalline Cs2PuBiO6 at its relaxed geometry, with properties calculated at the PBE level.

```
Cs2PuBiO6
1.0
6.308 0.000 0.000
3.154 5.463 0.000
3.154 1.821 5.150
O Cs Pu Bi
6 2 1 1
Direct
0.229 0.771 0.229 O
0.229 0.771 0.771 O
0.229 0.229 0.771 O
0.771 0.771 0.229 O
0.771 0.229 0.229 O
0.771 0.229 0.771 O
0.750 0.750 0.750 Cs
0.250 0.250 0.250 Cs
0.000 0.000 0.000 Pu
0.500 0.500 0.500 Bi
```

Calculated values
E_form (uncorrected)   -1.907 eV/atom
Uncorrected energy   -6.87 eV/atom

8.
Below is crystalline PrYSe3 at its relaxed geometry, with properties calculated at the PBE level.

```
PrYSe3
1.0
-1.108 3.933 0.703
-3.066 0.492 -7.588
-7.102 -2.618 3.455
Pr Se Y
2 6 2
Direct
0.750 0.621 0.771 Pr
0.250 0.379 0.229 Pr
0.250 0.900 0.680 Se
0.250 0.685 0.025 Se
0.750 0.625 0.390 Se
0.750 0.100 0.320 Se
0.750 0.315 0.975 Se
0.250 0.375 0.610 Se
0.750 0.146 0.674 Y
0.250 0.854 0.326 Y
```

Calculated values
E_form (uncorrected)   -1.882 eV/atom
Uncorrected energy   -6.22 eV/atom

9.
Below is crystalline Sm7PI12 at its relaxed geometry, with properties calculated at the PBE level.

```
Sm7PI12
1.0
0.622 5.159 -8.368
9.094 -0.921 3.670
-3.288 -9.012 -2.237
I Sm P
12 7 1
Direct
0.078 0.687 0.228 I
0.153 0.387 0.468 I
0.532 0.847 0.613 I
0.387 0.468 0.153 I
0.468 0.153 0.387 I
0.313 0.772 0.922 I
0.772 0.922 0.313 I
0.687 0.228 0.078 I
0.228 0.078 0.687 I
0.847 0.613 0.532 I
0.922 0.313 0.772 I
0.613 0.532 0.847 I
0.696 0.899 0.969 Sm
0.031 0.304 0.101 Sm
0.969 0.696 0.899 Sm
0.899 0.969 0.696 Sm
0.101 0.031 0.304 Sm
0.500 0.500 0.500 Sm
0.304 0.101 0.031 Sm
0.000 0.000 0.000 P
```

Calculated values
E_form (uncorrected)   -1.379 eV/atom
Uncorrected energy   -4.23 eV/atom
D(E_F)   5.348 states/eV/cell

10.
Below is crystalline Ti5NbAlZn2 at its relaxed geometry, with properties calculated at the PBE level.

```
Ti5NbAlZn2
1.0
6.720 0.000 0.000
0.000 6.720 0.000
-3.360 -3.360 6.853
Zn Nb Ti Al
4 2 10 2
Direct
0.383 0.883 0.000 Zn
0.117 0.383 0.000 Zn
0.883 0.617 0.000 Zn
0.617 0.117 0.000 Zn
0.750 0.750 0.500 Nb
0.250 0.250 0.500 Nb
0.081 0.581 0.719 Ti
0.000 0.000 0.000 Ti
0.581 0.638 0.719 Ti
0.419 0.362 0.281 Ti
0.919 0.419 0.281 Ti
0.362 0.862 0.281 Ti
0.862 0.919 0.281 Ti
0.638 0.138 0.719 Ti
0.138 0.081 0.719 Ti
0.500 0.500 0.000 Ti
0.750 0.250 0.500 Al
0.250 0.750 0.500 Al
```

Calculated values
Uncorrected energy   -6.10 eV/atom
D(E_F)   23.301 states/eV/cell

11.
Below is crystalline TlCo2Hg at its relaxed geometry, with properties calculated at the PBE level.

```
TlCo2Hg
1.0
4.050 0.000 0.000
0.000 3.455 -0.002
0.000 1.738 5.023
Co Hg Tl
2 1 1
Direct
0.000 0.182 0.012 Co
0.500 0.064 0.246 Co
0.000 0.470 0.436 Hg
0.500 0.784 0.807 Tl
```

Calculated values
Uncorrected energy   -3.71 eV/atom
D(E_F)   4.016 states/eV/cell

12.
Below is crystalline Tb12Er5Cd2 at its relaxed geometry, with properties calculated at the PBE level.

```
Tb12Er5Cd2
1.0
9.166 0.000 0.000
-4.583 7.646 1.217
0.000 -1.511 8.142
Tb Er Cd
12 5 2
Direct
0.034 0.698 0.761 Tb
0.820 0.250 0.665 Tb
0.664 0.698 0.761 Tb
0.444 0.888 0.675 Tb
0.085 0.170 0.887 Tb
0.915 0.830 0.113 Tb
0.430 0.250 0.665 Tb
0.570 0.750 0.335 Tb
0.966 0.302 0.239 Tb
0.180 0.750 0.335 Tb
0.556 0.112 0.325 Tb
0.336 0.302 0.239 Tb
0.696 0.392 0.010 Er
0.234 0.468 0.580 Er
0.766 0.532 0.420 Er
0.304 0.608 0.990 Er
0.000 0.000 0.500 Er
0.676 0.000 0.000 Cd
0.324 0.000 0.000 Cd
```

Calculated values
Uncorrected energy   -4.17 eV/atom
D(E_F)   30.148 states/eV/cell

13.
Below is crystalline CuB3As at its relaxed geometry, with properties calculated at the PBE level.

```
CuB3As
1.0
3.953 0.000 0.000
0.000 3.953 0.000
0.000 0.000 3.953
As B Cu
1 3 1
Direct
0.500 0.500 0.500 As
0.000 0.500 0.000 B
0.500 0.000 0.000 B
0.000 0.000 0.500 B
0.000 0.000 0.000 Cu
```

Calculated values
Uncorrected energy   -4.08 eV/atom
D(E_F)   2.916 states/eV/cell

14.
Below is crystalline LiSiPd3 at its relaxed geometry, with properties calculated at the PBE level.

```
LiSiPd3
1.0
4.754 0.000 0.000
0.000 8.208 -0.352
0.000 -2.923 7.694
Pd Li Si
12 4 4
Direct
0.502 0.846 0.846 Pd
0.250 0.437 0.063 Pd
0.750 0.063 0.437 Pd
0.122 0.314 0.686 Pd
0.878 0.686 0.314 Pd
0.378 0.814 0.186 Pd
0.622 0.186 0.814 Pd
0.250 0.937 0.563 Pd
0.998 0.346 0.346 Pd
0.498 0.154 0.154 Pd
0.002 0.654 0.654 Pd
0.750 0.563 0.937 Pd
0.097 0.093 0.905 Li
0.903 0.907 0.095 Li
0.597 0.407 0.595 Li
0.403 0.593 0.405 Li
0.250 0.114 0.387 Si
0.750 0.386 0.113 Si
0.250 0.614 0.887 Si
0.750 0.886 0.613 Si
```

Calculated values
E_form (uncorrected)   -0.619 eV/atom
Uncorrected energy   -5.20 eV/atom
D(E_F)   7.075 states/eV/cell

15.
Below is crystalline KSb2Mo at its relaxed geometry, with properties calculated at the PBE level.

```
KSb2Mo
1.0
3.192 0.000 0.000
0.000 4.384 0.000
0.000 0.000 8.644
K Sb Mo
1 2 1
Direct
0.000 0.000 0.486 K
0.500 0.500 0.218 Sb
0.000 0.000 0.887 Sb
0.500 0.500 0.909 Mo
```

Calculated values
E_form (uncorrected)   0.244 eV/atom
Uncorrected energy   -4.80 eV/atom
D(E_F)   2.344 states/eV/cell